No. 1
InRe2Br | Alexandria | GGA-PBEsol | relaxed; symmetry = Cmmm, No. 65; spin magnetization = 0.001 μB/atom; calculated volume = 68.44 Å³/f.u.; crystal system = orthorhombic; energy relative to the elements, uncorrected = 1.126 eV/atom; distance to the lowest polymorph of the same formula = 0.0 meV/atom
1.0
2.882 0.000 0.000
-1.441 2.522 0.000
0.000 0.000 9.415
Br In Re
1 1 2
Cartesian
1.441 0.000 4.707 Br
1.441 0.000 0.000 In
0.000 0.000 7.043 Re
0.000 0.000 2.372 Re


No. 2
ZnSbPb2 | Alexandria | GGA-PBEsol | relaxed; symmetry = P4mm, No. 99; spin magnetization = 0.000 μB/atom; calculated volume = 102.21 Å³/f.u.; crystal system = tetragonal; energy relative to the elements, uncorrected = 0.113 eV/atom; distance to the lowest polymorph of the same formula = 0.0 meV/atom
1.0
3.769 0.000 0.000
0.000 3.769 0.000
0.000 0.000 7.196
Pb Zn Sb
2 1 1
Cartesian
0.000 0.000 6.928 Pb
1.884 1.884 1.993 Pb
1.884 1.884 5.220 Zn
0.000 0.000 3.848 Sb


No. 3
ZrZnTeI2 | Alexandria | GGA-PBEsol | relaxed; symmetry = P4/mmm, No. 123; spin magnetization = 0.335 μB/atom; calculated volume = 146.53 Å³/f.u.; crystal system = tetragonal; energy relative to the elements, uncorrected = 0.346 eV/atom
1.0
-4.594 -2.291 1.068
-0.166 -1.937 -4.870
2.564 -4.370 1.651
Te Zr I Zn
1 1 2 1
Cartesian
1.282 -2.185 0.826 Te
-1.098 -4.300 -1.075 Zr
-0.083 -0.969 -2.435 I
-2.297 -1.146 0.534 I
0.000 0.000 0.000 Zn


No. 4
Tl4AgSe | Alexandria | GGA-PBEsol | relaxed; symmetry = F-43m, No. 216; spin magnetization = 0.000 μB/atom; calculated volume = 165.38 Å³/f.u.; crystal system = cubic; energy relative to the elements, uncorrected = 0.302 eV/atom
1.0
-1.924 -3.335 4.810
0.763 -6.114 0.012
4.107 -2.585 3.796
Tl Ag Se
4 1 1
Cartesian
3.160 -5.805 5.131 Tl
0.141 -6.181 5.638 Tl
1.486 -7.571 3.236 Tl
1.104 -4.511 3.231 Tl
2.210 -9.025 6.464 Ag
0.000 0.000 0.000 Se


No. 5
Ba3NaIrO6 | Alexandria | GGA-PBEsol | relaxed; symmetry = R-3c, No. 167; spin magnetization = 0.185 μB/atom; calculated volume = 175.15 Å³/f.u.; crystal system = trigonal; energy relative to the elements, uncorrected = -2.026 eV/atom
1.0
7.051 0.005 0.006
-0.178 7.049 0.006
-0.178 -0.182 7.047
Ba O Na Ir
6 12 2 2
Cartesian
1.496 4.113 6.302 Ba
0.547 5.216 2.778 Ba
2.623 0.616 5.288 Ba
5.200 2.759 0.756 Ba
6.149 1.657 4.280 Ba
4.073 6.257 1.770 Ba
3.896 3.024 5.409 O
2.922 5.301 4.116 O
4.998 0.201 6.465 O
3.774 1.571 2.942 O
1.472 2.839 3.891 O
0.071 6.329 5.172 O
1.698 6.672 0.593 O
0.371 1.708 6.685 O
6.625 0.543 1.886 O
2.800 3.848 1.649 O
5.224 4.033 3.167 O
6.325 5.164 0.373 O
1.674 1.718 1.764 Na
5.022 5.154 5.293 Na
3.348 3.436 3.529 Ir
0.000 0.000 0.000 Ir


No. 6
Cs3HgF | Alexandria | GGA-PBEsol | relaxed; symmetry = Pm-3m, No. 221; spin magnetization = 0.000 μB/atom; calculated volume = 205.06 Å³/f.u.; crystal system = cubic; energy relative to the elements, uncorrected = -1.106 eV/atom
1.0
-3.744 -2.817 -3.580
1.393 -5.120 2.572
-4.337 0.787 3.917
Cs Hg F
3 1 1
Cartesian
-1.872 -1.409 -1.790 Cs
-2.169 0.394 1.958 Cs
0.697 -2.560 1.286 Cs
-3.344 -3.575 1.454 Hg
0.000 0.000 0.000 F


No. 7
Zr2CrCu | Alexandria | GGA-PBEsol | relaxed; symmetry = P4mm, No. 99; spin magnetization = 0.799 μB/atom; calculated volume = 68.73 Å³/f.u.; crystal system = tetragonal; DFT total energy = -32.0 eV for the cell shown
1.0
-1.805 -2.544 -0.739
2.401 -1.193 -1.757
2.335 -3.220 5.377
Cr Zr Cu
1 2 1
Cartesian
1.240 -1.710 2.855 Cr
2.256 -3.111 5.195 Zr
0.954 -2.773 0.262 Zr
1.984 -4.193 2.634 Cu


No. 8
ZrCrCd2 | Alexandria | GGA-PBEsol | relaxed; symmetry = Fm-3m, No. 225; spin magnetization = 0.878 μB/atom; calculated volume = 75.72 Å³/f.u.; crystal system = cubic; distance to the lowest polymorph of the same formula = 0.0 meV/atom
1.0
-3.216 1.850 2.964
0.432 -0.658 4.683
1.179 3.642 2.811
Zr Cd Cr
1 2 1
Cartesian
-0.803 2.417 5.229 Zr
-0.401 1.208 2.614 Cd
-1.204 3.625 7.843 Cd
0.000 0.000 0.000 Cr


Question: Look up the calculated volume of the first one.
Answer: 68.44 Å³/f.u.